1.
## Tl2ZnHg (PBEsol)

Data for a relaxed Tl2ZnHg crystal.

Lattice parameters (Å, degrees): 3.483 3.483 9.401 79.32 79.32 60.00
Fractional coordinates of all 4 atoms:
Hg (0.239, 0.239, 0.283)
Zn (0.505, 0.505, 0.485)
Tl (0.995, 0.995, 0.014)
Tl (0.761, 0.761, 0.718)

Summary:
Space-group type: R3m

2.
## TlZn2Hg (PBEsol)

Data for a relaxed TlZn2Hg crystal.

Lattice parameters (Å, degrees): 3.337 4.613 5.857 101.90 90.00 111.21
Fractional coordinates of all 4 atoms:
Tl (0.500, 0.000, 0.000)
Zn (0.745, 0.490, 0.706)
Zn (0.255, 0.510, 0.294)
Hg (0.000, 0.000, 0.500)

Summary:
Space-group type: C2/m

3.
## TlZnHg2 (PBEsol)

Data for a relaxed TlZnHg2 crystal.

Lattice parameters (Å, degrees): 3.207 5.518 5.518 111.19 90.00 90.00
Fractional coordinates of all 4 atoms:
Tl (0.500, 0.000, 0.000)
Zn (0.500, 0.500, 0.500)
Hg (0.000, 0.000, 0.500)
Hg (0.000, 0.500, 0.000)

Summary:
Space-group type: Cmmm

4.
## TlZnHg2 (PBEsol)

Data for a relaxed TlZnHg2 crystal.

Lattice parameters (Å, degrees): 3.264 3.264 8.320 90.00 90.00 90.00
Fractional coordinates of all 4 atoms:
Tl (0.500, 0.500, 0.000)
Zn (0.500, 0.500, 0.500)
Hg (0.000, 0.000, 0.291)
Hg (0.000, 0.000, 0.709)

Summary:
Space-group type: P4/mmm

5.
## TlZnHg2 (PBEsol)

Data for a relaxed TlZnHg2 crystal.

Lattice parameters (Å, degrees): 3.268 5.335 6.054 116.14 105.66 90.00
Fractional coordinates of all 4 atoms:
Zn (0.000, 0.500, 0.000)
Hg (0.280, 0.280, 0.561)
Tl (0.500, 0.000, 0.000)
Hg (0.720, 0.720, 0.439)

Summary:
Space-group type: Immm

6.
## Tl2ZnHg (PBEsol)

Data for a relaxed Tl2ZnHg crystal.

Lattice parameters (Å, degrees): 3.403 3.403 8.165 90.00 90.00 90.00
Fractional coordinates of all 4 atoms:
Zn (0.000, 0.000, 0.525)
Tl (0.000, 0.000, 0.981)
Hg (0.500, 0.500, 0.708)
Tl (0.500, 0.500, 0.286)

Summary:
Space-group type: P4mm

7.
## Tl2ZnHg2 (PBEsol)

Data for a relaxed Tl2ZnHg2 crystal.

Lattice parameters (Å, degrees): 5.124 6.981 6.981 90.00 90.00 90.00
Fractional coordinates of all 10 atoms:
Hg (0.000, 0.648, 0.148)
Tl (0.500, 0.174, 0.674)
Tl (0.500, 0.674, 0.826)
Zn (0.000, 0.000, 0.000)
Hg (0.000, 0.148, 0.352)
Hg (0.000, 0.852, 0.648)
Hg (0.000, 0.352, 0.852)
Zn (0.000, 0.500, 0.500)
Tl (0.500, 0.826, 0.326)
Tl (0.500, 0.326, 0.174)

Summary:
Space-group type: P4/mbm

8.
## TlZnHg2 (PBEsol)

Data for a relaxed TlZnHg2 crystal.

Lattice parameters (Å, degrees): 3.428 3.428 9.066 79.10 79.10 60.00
Fractional coordinates of all 4 atoms:
Hg (0.739, 0.739, 0.782)
Zn (0.000, 0.000, 0.000)
Tl (0.500, 0.500, 0.500)
Hg (0.261, 0.261, 0.218)

Summary:
Space-group type: R-3m

Calculated formation energy (eV/atom)
0.08; 0.13; 0.11; 0.05; 0.07; 0.07; 0.07; 0.05